This record from the Alexandria database describes a geometry-optimized TbSc2MoO8 structure. The functional is PBE with a Hubbard U.

## Properties
The value obtained for the energy is -7.9856 eV/atom. As for the density of states at the Fermi level: 5.3 states/eV per cell.

POSCAR file:
```
TbSc2MoO8
1.0
3.429 -3.448 0.000
3.429 3.448 0.000
0.000 0.000 6.591
Tb Sc Mo O
1 2 1 8
Direct
0.000 0.000 0.000
0.500 0.500 0.253
0.500 0.500 0.747
0.000 0.000 0.500
0.193 0.807 0.287
0.193 0.807 0.713
0.288 0.288 0.500
0.320 0.320 0.000
0.680 0.680 0.000
0.712 0.712 0.500
0.807 0.193 0.287
0.807 0.193 0.713
```